VASP calculation (PBE) on an optimized crystal structure of Pm2Zn5PtRh2.

As for the spin magnetization: 0.000 μB/atom. The uncorrected energy is -0.152 Ha/atom. The value obtained for the calculated formation energy is -477.3 meV/atom.

The structure belongs to space group P4/mbm (No. 127); the cell edges are 9.739, 9.739 and 3.804 Å and the angles 90.00°, 90.00° and 90.00°. The inequivalent atoms are Pm at (0.179, 0.321, 0.000), Zn at (0.000, 0.500, 0.500), Zn at (0.053, 0.809, 0.500), Pt at (0.000, 0.000, 0.000) and Rh at (0.123, 0.623, 0.000).